A relaxed structure of BaBe2Te. Source: Alexandria via LeMat-Bulk, functional GGA-PBE.

Lattice parameters (Å, degrees): 5.670 5.670 5.670 139.13 112.72 81.81
Fractional positions:
1 Be 0.055 0.055 0.000
2 Be 0.445 0.445 0.000
3 Te 0.250 0.750 0.500
4 Ba 0.750 0.250 0.500

Summary:
Symmetry: No. 71
Raw total energy: -11.0 eV per cell
E_form (uncorrected): 0.387 eV/atom